{
  "formula": "ScTlGa2Os",
  "functional": "PBEsol",
  "state": "relaxed",
  "lattice": [[4.8546, 0.0000, 0.0000], [0.0000, 4.8546, 0.0000], [0.0000, 0.0000, 5.3201]],
  "species": ["Sc", "Tl", "Ga", "Ga", "Os"],
  "frac_coords": [[0.0000, 0.0000, 0.0000], [0.0000, 0.0000, 0.5000], [0.0000, 0.5000, 0.5000], [0.5000, 0.0000, 0.5000], [0.5000, 0.5000, 0.0000]],
  "magmom_total_mub_per_atom": 0.312,
  "energy_ev_per_atom": -3.99,
  "spacegroup": "No. 123"
}